(1)
Zr4AlTe | PBE | relaxed

Structure (extended XYZ):
```
6
Lattice="0.000 4.103 4.103 4.103 0.000 4.103 4.103 4.103 0.000" Properties=species:S:1:pos:R:3 pbc="T T T"
Zr 1.013 1.013 1.013
Zr 3.090 3.090 1.013
Zr 3.090 1.013 3.090
Zr 1.013 3.090 3.090
Al 6.154 6.154 6.154
Te 4.103 4.103 4.103
```

Values from the calculation:
* total magnetization: 0.00 μB per atom
* E_form (uncorrected): 14.60 kJ per mole of atoms
* E_tot: -6.69 eV per atom
* calculated density: 6246 kg/m³

***

(2)
Zr2AlTe | PBE | relaxed

Structure (extended XYZ):
```
4
Lattice="0.000 3.516 3.516 3.516 0.000 3.516 3.516 3.516 0.000" Properties=species:S:1:pos:R:3 pbc="T T T"
Zr 0.000 0.000 0.000
Zr 1.758 1.758 1.758
Al 5.274 5.274 5.274
Te 3.516 3.516 3.516
```

Values from the calculation:
* total magnetization: 0.22 μB per atom
* E_form (uncorrected): 4.76 kJ per mole of atoms
* E_tot: -5.95 eV per atom
* calculated density: 6438 kg/m³
* offset from the most stable computed form: 47.9 kJ per mole of atoms

***

(3)
Zr2AlTe | PBE | relaxed

Structure (extended XYZ):
```
4
Lattice="-2.093 2.110 4.803 2.093 -2.110 4.803 2.093 2.110 -4.803" Properties=species:S:1:pos:R:3 pbc="T T T"
Zr 0.000 0.000 0.000
Zr 0.000 2.110 2.400
Al 2.093 0.000 2.399
Te 0.000 0.000 4.806
```

Values from the calculation:
* total magnetization: 0.00 μB per atom
* E_form (uncorrected): -33.01 kJ per mole of atoms
* E_tot: -6.34 eV per atom
* calculated density: 6596 kg/m³
* offset from the most stable computed form: 10.1 kJ per mole of atoms

***

(4)
Zr2AlTe | PBE | relaxed

Structure (extended XYZ):
```
4
Lattice="3.386 0.000 0.000 0.000 3.386 0.000 0.000 0.000 7.507" Properties=species:S:1:pos:R:3 pbc="T T T"
Zr 0.000 0.000 1.850
Zr 0.000 0.000 5.656
Al 1.693 1.693 3.753
Te 1.693 1.693 0.000
```

Values from the calculation:
* total magnetization: 0.00 μB per atom
* E_form (uncorrected): -40.19 kJ per mole of atoms
* E_tot: -6.41 eV per atom
* calculated density: 6503 kg/m³
* offset from the most stable computed form: 2.9 kJ per mole of atoms

***

(5)
Zr2AlTe | PBE | relaxed

Structure (extended XYZ):
```
4
Lattice="3.533 0.000 0.000 0.000 3.859 0.000 -0.920 0.000 6.323" Properties=species:S:1:pos:R:3 pbc="T T T"
Zr -0.139 0.000 1.666
Zr 2.752 0.000 4.658
Al 1.307 1.930 3.162
Te 1.767 1.930 0.000
```

Values from the calculation:
* total magnetization: 0.00 μB per atom
* E_form (uncorrected): -39.21 kJ per mole of atoms
* E_tot: -6.40 eV per atom
* calculated density: 6491 kg/m³
* offset from the most stable computed form: 3.9 kJ per mole of atoms

***

(6)
ZrAlTe | PBE | relaxed

Structure (extended XYZ):
```
6
Lattice="3.649 0.000 0.000 0.000 3.649 0.000 0.000 0.000 10.332" Properties=species:S:1:pos:R:3 pbc="T T T"
Zr 0.912 0.912 2.415
Zr 2.737 2.737 7.917
Al 0.912 0.912 9.730
Al 2.737 2.737 0.602
Te 0.912 0.912 6.556
Te 2.737 2.737 3.776
```

Values from the calculation:
* total magnetization: 0.00 μB per atom
* E_form (uncorrected): -49.27 kJ per mole of atoms
* E_tot: -5.65 eV per atom
* calculated density: 5934 kg/m³

***

(7)
ZrAlTe2 | PBE | relaxed

Structure (extended XYZ):
```
4
Lattice="-2.002 2.698 4.293 2.002 -2.698 4.293 2.002 2.698 -4.293" Properties=species:S:1:pos:R:3 pbc="T T T"
Zr 0.000 0.000 0.000
Al 0.000 0.000 4.293
Te 2.002 0.000 2.426
Te 0.000 2.698 1.867
```

Values from the calculation:
* total magnetization: 0.00 μB per atom
* E_form (uncorrected): -27.41 kJ per mole of atoms
* E_tot: -4.93 eV per atom
* calculated density: 6686 kg/m³

***

(8)
ZrAlTe2 | PBE | relaxed

Structure (extended XYZ):
```
4
Lattice="3.432 -3.741 0.000 3.432 3.741 0.000 0.000 0.000 3.605" Properties=species:S:1:pos:R:3 pbc="T T T"
Zr 0.000 0.000 0.000
Al 3.432 0.000 0.000
Te 1.716 1.871 1.803
Te 1.716 -1.871 1.803
```

Values from the calculation:
* total magnetization: 0.00 μB per atom
* E_form (uncorrected): -18.22 kJ per mole of atoms
* E_tot: -4.83 eV per atom
* calculated density: 6697 kg/m³

***

(9)
ZrAlTe | PBE | relaxed

Structure (extended XYZ):
```
3
Lattice="5.090 0.000 0.000 -2.545 4.408 0.000 0.000 0.000 2.940" Properties=species:S:1:pos:R:3 pbc="T T T"
Zr 0.000 0.000 0.000
Al 2.545 1.469 1.640
Te 0.000 2.939 1.937
```

Values from the calculation:
* total magnetization: 0.00 μB per atom
* E_form (uncorrected): -3.14 kJ per mole of atoms
* E_tot: -5.18 eV per atom
* calculated density: 6188 kg/m³

***

(10)
ZrAlTe2 | PBE | relaxed

Structure (extended XYZ):
```
4
Lattice="0.000 3.643 3.643 3.643 0.000 3.643 3.643 3.643 0.000" Properties=species:S:1:pos:R:3 pbc="T T T"
Zr 0.000 0.000 0.000
Al 5.465 5.465 5.465
Te 1.822 1.822 1.822
Te 3.643 3.643 3.643
```

Values from the calculation:
* total magnetization: 0.00 μB per atom
* E_form (uncorrected): 18.55 kJ per mole of atoms
* E_tot: -4.45 eV per atom
* calculated density: 6412 kg/m³

***

(11)
ZrAlTe | PBE | relaxed

Structure (extended XYZ):
```
3
Lattice="-1.830 1.830 4.690 1.830 -1.830 4.690 1.830 1.830 -4.690" Properties=species:S:1:pos:R:3 pbc="T T T"
Zr 0.000 0.000 0.000
Al 0.000 0.000 3.184
Te 0.000 0.000 6.225
```

Values from the calculation:
* total magnetization: 0.00 μB per atom
* E_form (uncorrected): -48.27 kJ per mole of atoms
* E_tot: -5.64 eV per atom
* calculated density: 6498 kg/m³

***

(12)
ThAl12 | PBE | relaxed

Structure (extended XYZ):
```
13
Lattice="-4.620 4.620 2.709 4.620 -4.620 2.709 4.620 4.620 -2.709" Properties=species:S:1:pos:R:3 pbc="T T T"
Th 0.000 0.000 0.000
Al 2.310 2.310 -1.355
Al 3.285 0.000 0.000
Al 2.310 -2.310 1.355
Al 5.955 0.000 0.000
Al 4.620 2.604 0.000
Al 0.000 3.285 0.000
Al -2.310 2.310 1.355
Al 2.604 4.620 0.000
Al 2.310 2.310 1.355
Al 2.017 0.000 2.709
Al 0.000 5.955 0.000
Al 0.000 2.017 2.709
```

Values from the calculation:
* E_form: -0.108 eV per atom
* total magnetization: 0.00 μB per atom
* E_tot: -4.13 eV per atom
* calculated density: 3990 kg/m³

***

- The highest calculated density belongs to which entry?
  number 8

***

- E_tot of number 8 (ZrAlTe2)?
  -4.83 eV per atom